A plane-wave DFT calculation with PBE was carried out for crystalline BaSm2Cd at its relaxed geometry.

a = 3.6956 Å, b = 3.6956 Å, c = 37.0100 Å
α = 90.00°, β = 90.00°, γ = 120.00°
Space group R-3m (No. 166, hexagonal axes)
Asymmetric unit:
Ba (0.0000, 0.0000, 0.0000)
Sm (0.0000, 0.0000, 0.1001)
Cd (0.0000, 0.0000, 0.5000)

ρ: 6.264 Mg/m³
formation energy from the elements: 3.6 kcal/mol of atoms
Fermi-level density of states: 17.69 states/eV per cell
E above lowest polymorph: 184 meV per atom
total DFT energy (no corrections): -2.91 eV/atom


A plane-wave DFT calculation with PBE was carried out for crystalline BaSm4Cd5 at its relaxed geometry.

a = 3.874 Å, b = 3.874 Å, c = 19.677 Å
α = 90.00°, β = 90.00°, γ = 90.00°
Space group P4/mmm (No. 123)
Asymmetric unit:
Ba (0.000, 0.000, 0.000)
Sm (0.000, 0.000, 0.215)
Sm (0.000, 0.000, 0.406)
Cd (0.500, 0.500, 0.124)
Cd (0.500, 0.500, 0.310)
Cd (0.500, 0.500, 0.500)

ρ: 7.316 Mg/m³
formation energy from the elements: -7.1 kcal/mol of atoms
Fermi-level density of states: 11.41 states/eV per cell
total DFT energy (no corrections): -2.84 eV/atom


A plane-wave DFT calculation with PBE was carried out for crystalline BaSmCd at its relaxed geometry.

a = 4.014 Å, b = 4.014 Å, c = 13.947 Å
α = 90.00°, β = 90.00°, γ = 90.00°
Space group I4mm (No. 107)
Asymmetric unit:
Ba (0.000, 0.000, 0.000)
Sm (0.000, 0.000, 0.280)
Cd (0.000, 0.000, 0.671)

ρ: 5.912 Mg/m³
formation energy from the elements: -2.8 kcal/mol of atoms
Fermi-level density of states: 6.41 states/eV per cell
E above lowest polymorph: 37 meV per atom
total DFT energy (no corrections): -2.64 eV/atom


A plane-wave DFT calculation with PBE was carried out for crystalline BaSmCd4 at its relaxed geometry.

a = 8.731 Å, b = 8.731 Å, c = 8.731 Å
α = 90.00°, β = 90.00°, γ = 90.00°
Space group F-43m (No. 216)
Asymmetric unit:
Ba (0.000, 0.000, 0.000)
Sm (0.250, 0.250, 0.750)
Cd (0.124, 0.124, 0.376)

ρ: 7.357 Mg/m³
formation energy from the elements: -5.3 kcal/mol of atoms
Fermi-level density of states: 24.61 states/eV per cell
E above lowest polymorph: 100 meV per atom
total DFT energy (no corrections): -1.95 eV/atom


A plane-wave DFT calculation with PBE was carried out for crystalline BaSmCd at its relaxed geometry.

a = 3.954 Å, b = 3.954 Å, c = 28.983 Å
α = 90.00°, β = 90.00°, γ = 90.00°
Space group I4/mmm (No. 139)
Asymmetric unit:
Ba (0.000, 0.000, 0.071)
Sm (0.000, 0.000, 0.211)
Cd (0.000, 0.000, 0.347)

ρ: 5.865 Mg/m³
formation energy from the elements: -3.6 kcal/mol of atoms
Fermi-level density of states: 12.45 states/eV per cell
E above lowest polymorph: 0 meV per atom
total DFT energy (no corrections): -2.68 eV/atom


A plane-wave DFT calculation with PBE was carried out for crystalline BaSm2Cd3 at its relaxed geometry.

a = 3.904 Å, b = 3.904 Å, c = 12.113 Å
α = 90.00°, β = 90.00°, γ = 90.00°
Space group P4/mmm (No. 123)
Asymmetric unit:
Ba (0.000, 0.000, 0.000)
Sm (0.000, 0.000, 0.347)
Cd (0.500, 0.500, 0.201)
Cd (0.500, 0.500, 0.500)

ρ: 6.971 Mg/m³
formation energy from the elements: -7.0 kcal/mol of atoms
Fermi-level density of states: 5.39 states/eV per cell
total DFT energy (no corrections): -2.65 eV/atom